VASP calculation (PBE) on LaPr4Nd2Cd after structural relaxation.

a b c (Å): 9.6176 9.6176 11.9703
angles (deg): 128.48 128.48 88.14
Last column: nearest neighbours and their distance in Å.
Positions (direct):
La  0.5000  0.5000  0.5000  6 Pr 3.34-3.47, 2 La 3.45
La  0.0000  0.0000  0.0000  6 Pr 3.34-3.47, 2 La 3.45
Pr  0.2375  0.7390  0.9884  2 Pr 3.29-3.62, 1 La 3.34, 3 Nd 3.36-3.50, 2 Cd 3.41-3.42
Pr  0.7610  0.2625  0.5116  2 Pr 3.29-3.62, 1 La 3.34, 3 Nd 3.36-3.50, 2 Cd 3.41-3.42
Pr  0.2390  0.7375  0.4884  2 Pr 3.29-3.62, 1 La 3.34, 3 Nd 3.36-3.50, 2 Cd 3.41-3.42
Pr  0.7625  0.2610  0.0116  2 Pr 3.29-3.62, 1 La 3.34, 3 Nd 3.36-3.50, 2 Cd 3.41-3.42
Pr  0.7659  0.7313  0.9984  1 Cd 3.11, 2 La 3.46-3.47, 2 Nd 3.46-3.47, 2 Pr 3.49
Pr  0.7687  0.7341  0.5016  1 Cd 3.11, 2 La 3.46-3.47, 2 Nd 3.46-3.47, 2 Pr 3.49
Pr  0.2313  0.2659  0.4984  1 Cd 3.11, 2 La 3.46-3.47, 2 Nd 3.46-3.47, 2 Pr 3.49
Pr  0.2341  0.2687  0.0016  1 Cd 3.11, 2 La 3.46-3.47, 2 Nd 3.46-3.47, 2 Pr 3.49
Nd  0.5000  0.0000  0.0000  2 Cd 3.45, 6 Pr 3.49-3.58
Nd  0.5000  0.0000  0.5000  2 Cd 3.45, 6 Pr 3.49-3.58
Nd  0.0000  0.0000  0.5000  6 Pr 3.36-3.47, 2 Nd 3.45
Nd  0.5000  0.5000  0.0000  6 Pr 3.36-3.47, 2 Nd 3.45
Cd  0.0000  0.5000  0.0000  6 Pr 3.11-3.42, 2 Nd 3.45
Cd  0.0000  0.5000  0.5000  6 Pr 3.11-3.42, 2 Nd 3.45

Values from the calculation:
- space group = C2/c
- ΔE_f (eV per formula unit) = 1.72
- uncorrected energy (eV per cell) = -65.544
- crystal system = monoclinic


VASP calculation (PBE) on Pm2LuBi after structural relaxation.

a b c (Å): 3.5545 3.5545 12.3971
angles (deg): 81.76 81.76 60.00
Last column: nearest neighbours and their distance in Å.
Positions (direct):
Lu  0.5000  0.5000  0.5000  6 Pm 3.53, 6 Lu 3.55
Bi  0.0000  0.0000  0.0000  2 Pm 3.24, 6 Bi 3.55
Pm  0.0883  0.0883  0.7352  1 Bi 3.24, 3 Lu 3.53, 6 Pm 3.55
Pm  0.9117  0.9117  0.2648  1 Bi 3.24, 3 Lu 3.53, 6 Pm 3.55

Values from the calculation:
- space group = R-3m
- ΔE_f (eV per formula unit) = 0.02
- uncorrected energy (eV per cell) = -17.880
- crystal system = trigonal


VASP calculation (PBE) on PmHoTeO6 after structural relaxation.

a b c (Å): 5.5730 5.5730 9.7763
angles (deg): 90.00 90.00 120.00
Last column: nearest neighbours and their distance in Å.
Positions (direct):
Pm  0.0000  0.0000  0.0000  6 O 2.41
Pm  0.0000  0.0000  0.5000  6 O 2.41
Ho  0.3333  0.6667  0.2500  6 O 2.26
Ho  0.6667  0.3333  0.7500  6 O 2.26
Te  0.6667  0.3333  0.2500  6 O 1.96
Te  0.3333  0.6667  0.7500  6 O 1.96
O  0.6645  0.6234  0.1377  1 Te 1.96
O  0.9589  0.3355  0.1377  1 Te 1.96
O  0.3355  0.9589  0.6377  1 Te 1.96
O  0.0411  0.6646  0.8623  1 Te 1.96
O  0.3766  0.3355  0.3623  1 Te 1.96
O  0.9589  0.6234  0.3623  1 Te 1.96
O  0.6234  0.9589  0.8623  1 Te 1.96
O  0.6645  0.0411  0.3623  1 Te 1.96
O  0.0411  0.3766  0.6377  1 Te 1.96
O  0.3766  0.0411  0.1377  1 Te 1.96
O  0.6234  0.6646  0.6377  1 Te 1.96
O  0.3355  0.3766  0.8623  1 Te 1.96

Values from the calculation:
- formation energy from raw total energies (eV per atom) = -2.451
- space group = P-31c
- uncorrected energy (eV per cell) = -128.560
- crystal system = trigonal


VASP calculation (PBE) on LiFe2Br after structural relaxation.

a b c (Å): 4.6812 4.6812 4.6812
angles (deg): 130.44 130.44 72.70
Last column: nearest neighbours and their distance in Å.
Positions (direct):
Br  0.7500  0.2500  0.5000  4 Li 2.72, 8 Fe 2.72-2.77
Fe  0.0000  0.0000  0.0000  4 Br 2.72, 4 Fe 2.72, 4 Li 2.77
Fe  0.2500  0.7500  0.5000  4 Fe 2.72, 4 Li 2.72, 4 Br 2.77
Li  0.5000  0.5000  0.0000  8 Fe 2.72-2.77, 4 Br 2.72

Values from the calculation:
- formation energy from raw total energies (eV per atom) = 0.534
- space group = I-4m2
- uncorrected energy (eV per cell) = -18.378
- crystal system = tetragonal


VASP calculation (PBE) on ZrHgAs2 after structural relaxation.

a b c (Å): 8.2231 8.2231 8.2231
angles (deg): 25.82 25.82 25.82
Last column: nearest neighbours and their distance in Å.
Positions (direct):
As  0.0104  0.0104  0.0104  3 Zr 2.74
As  0.4896  0.4896  0.4896  3 Zr 2.74
Hg  0.2500  0.2500  0.2500  6 As 3.08
Zr  0.7500  0.7500  0.7500  6 As 2.74

Values from the calculation:
- space group = R-3m
- ΔE_f (eV per formula unit) = -1.08
- uncorrected energy (eV per cell) = -19.231
- crystal system = trigonal


VASP calculation (PBE) on GaCo2I after structural relaxation.

a b c (Å): 4.4389 4.4389 4.4389
angles (deg): 60.00 60.00 60.00
Last column: nearest neighbours and their distance in Å.
Positions (direct):
I  0.5000  0.5000  0.5000  8 Co 2.72
Co  0.2500  0.2500  0.2500  4 I 2.72, 4 Ga 2.72
Co  0.7500  0.7500  0.7500  4 I 2.72, 4 Ga 2.72
Ga  0.0000  0.0000  0.0000  8 Co 2.72

Values from the calculation:
- formation energy from raw total energies (eV per atom) = 0.627
- space group = Fm-3m
- uncorrected energy (eV per cell) = -16.280
- crystal system = cubic


VASP calculation (PBE) on BeNiP2Cl after structural relaxation.

a b c (Å): 4.2043 4.2043 4.4991
angles (deg): 90.00 90.00 90.00
Last column: nearest neighbours and their distance in Å.
Positions (direct):
Ni  0.5000  0.5000  0.5000  4 Cl 2.97, 8 P 3.08
Be  0.0000  0.0000  0.0000  4 P 2.10, 2 Cl 2.25
P  0.0000  0.5000  0.0000  2 Be 2.10
P  0.5000  0.0000  0.0000  2 Be 2.10
Cl  0.0000  0.0000  0.5000  2 Be 2.25

Values from the calculation:
- formation energy from raw total energies (eV per atom) = 0.750
- space group = P4/mmm
- uncorrected energy (eV per cell) = -18.425
- crystal system = tetragonal


VASP calculation (PBE) on Na3HgPb after structural relaxation.

a b c (Å): 4.9885 7.6364 7.3828
angles (deg): 93.34 90.00 90.00
Last column: nearest neighbours and their distance in Å.
Positions (direct):
Na  0.6244  0.7854  0.5680  3 Hg 3.30-3.31, 3 Pb 3.35-3.49, 6 Na 3.38-3.60
Na  0.6244  0.0072  0.1668  3 Hg 3.19-3.51, 6 Na 3.27-3.50, 3 Pb 3.33-3.35
Na  0.1244  0.4988  0.6428  3 Hg 3.21-3.30, 3 Na 3.27-3.38, 3 Pb 3.49-3.58
Na  0.1244  0.3131  0.0792  3 Hg 3.30-3.31, 3 Pb 3.35-3.49, 6 Na 3.38-3.60
Na  0.1244  0.0912  0.4804  3 Hg 3.19-3.50, 6 Na 3.27-3.50, 3 Pb 3.33-3.35
Na  0.6244  0.5997  0.0044  3 Hg 3.21-3.30, 3 Na 3.27-3.39, 3 Pb 3.49-3.58
Hg  0.6244  0.3882  0.3673  9 Na 3.19-3.50, 1 Pb 3.38
Hg  0.1244  0.7102  0.2799  9 Na 3.19-3.51, 1 Pb 3.38
Pb  0.6244  0.1916  0.7663  9 Na 3.33-3.58, 1 Hg 3.38, 2 Pb 3.45
Pb  0.1244  0.9069  0.8809  9 Na 3.33-3.58, 1 Hg 3.38, 2 Pb 3.45

Values from the calculation:
- space group = P2_1/m
- ΔE_f (eV per formula unit) = -0.83
- uncorrected energy (eV per cell) = -17.596
- crystal system = monoclinic


VASP calculation (PBE) on AlBiCl2 after structural relaxation.

a b c (Å): 7.3649 7.3649 7.3815
angles (deg): 60.07 60.07 90.00
Last column: nearest neighbours and their distance in Å.
Positions (direct):
Al  0.5000  0.5000  0.0000  4 Cl 2.31
Al  0.2500  0.7500  0.5000  4 Cl 2.31
Bi  0.0000  0.0000  0.0000  8 Cl 3.93-4.36
Bi  0.7500  0.2500  0.5000  8 Cl 3.93-4.36
Cl  0.4387  0.1250  0.2500  2 Al 2.31
Cl  0.3113  0.6250  0.2500  2 Al 2.31
Cl  0.3750  0.5613  0.7500  2 Al 2.31
Cl  0.8750  0.6887  0.7500  2 Al 2.31

Values from the calculation:
- formation energy from raw total energies (eV per atom) = -0.074
- space group = I-42d
- uncorrected energy (eV per cell) = -23.224
- crystal system = tetragonal


VASP calculation (PBE) on CsLa2AgO4 after structural relaxation.

a b c (Å): 3.8111 6.6194 12.8918
angles (deg): 90.00 90.00 106.73
Last column: nearest neighbours and their distance in Å.
Positions (direct):
Cs  0.0920  0.1841  0.7500  2 O 2.93
Cs  0.9080  0.8159  0.2500  2 O 2.93
La  0.3669  0.7338  0.5583  6 O 2.38-2.65
La  0.6331  0.2662  0.0583  6 O 2.38-2.65
La  0.6331  0.2662  0.4417  6 O 2.38-2.65
La  0.3669  0.7338  0.9417  6 O 2.38-2.65
Ag  0.8142  0.6284  0.7500  4 O 2.27-2.30
Ag  0.1858  0.3716  0.2500  4 O 2.27-2.30
O  0.2484  0.4967  0.0849  1 Ag 2.27, 3 La 2.38-2.43
O  0.7516  0.5033  0.5849  1 Ag 2.27, 3 La 2.38-2.43
O  0.7516  0.5033  0.9151  1 Ag 2.27, 3 La 2.38-2.43
O  0.2484  0.4967  0.4151  1 Ag 2.27, 3 La 2.38-2.43
O  0.0000  0.0000  0.5000  4 La 2.65
O  0.0000  0.0000  0.0000  4 La 2.65
O  0.4161  0.8322  0.7500  2 Ag 2.30, 2 La 2.55
O  0.5839  0.1678  0.2500  2 Ag 2.30, 2 La 2.55

Values from the calculation:
- formation energy from raw total energies (eV per atom) = -2.306
- space group = Cmcm
- uncorrected energy (eV per cell) = -103.682
- crystal system = orthorhombic


VASP calculation (PBE) on TbZn3Ir3 after structural relaxation.

a b c (Å): 6.7161 6.7161 6.7161
angles (deg): 90.00 90.00 90.00
Last column: nearest neighbours and their distance in Å.
Positions (direct):
Zn  0.0000  0.2500  0.5000  4 Ir 2.37
Zn  0.0000  0.7500  0.5000  4 Ir 2.37
Zn  0.5000  0.0000  0.7500  4 Ir 2.37
Zn  0.7500  0.5000  0.0000  4 Ir 2.37
Zn  0.5000  0.0000  0.2500  4 Ir 2.37
Zn  0.2500  0.5000  0.0000  4 Ir 2.37
Ir  0.2500  0.0000  0.5000  4 Zn 2.37
Ir  0.0000  0.5000  0.2500  4 Zn 2.37
Ir  0.5000  0.7500  0.0000  4 Zn 2.37
Ir  0.7500  0.0000  0.5000  4 Zn 2.37
Ir  0.0000  0.5000  0.7500  4 Zn 2.37
Ir  0.5000  0.2500  0.0000  4 Zn 2.37
Tb  0.5000  0.5000  0.5000  12 Ir 3.75, 12 Zn 3.75
Tb  0.0000  0.0000  0.0000  12 Ir 3.75, 12 Zn 3.75

Values from the calculation:
- space group = Pm-3n
- ΔE_f (eV per formula unit) = 3.83
- uncorrected energy (eV per cell) = -62.416
- crystal system = cubic


VASP calculation (PBE) on TaCoW2 after structural relaxation.

a b c (Å): 4.8741 4.8741 4.9232
angles (deg): 78.58 78.58 32.72
Last column: nearest neighbours and their distance in Å.
Positions (direct):
Co  0.4938  0.4938  0.4872  6 W 2.59-2.84, 3 Ta 2.62-2.87, 2 Co 2.75
Ta  0.2293  0.2293  0.2785  3 Co 2.62-2.87, 2 Ta 2.75, 5 W 2.77-2.91
W  0.0048  0.0048  0.9880  5 W 2.69-2.89, 3 Ta 2.77-3.01, 4 Co 2.80-2.84
W  0.7721  0.7721  0.7463  2 Co 2.59, 5 W 2.69-2.89, 2 Ta 2.78

Values from the calculation:
- space group = Cm
- ΔE_f (eV per formula unit) = 0.99
- uncorrected energy (eV per cell) = -43.873
- crystal system = monoclinic